{"formula": "Re6Rh7", "functional": "PBE-GGA", "state": "relaxed", "e_form_ev_per_atom": 0.275, "space_group": "R-3m", "dft_energy_ev_per_cell": -122.57, "lattice": [[2.5039, 1.4456, 8.8557], [-2.5039, 1.4456, 8.8557], [0.0000, -2.8913, 8.8557]], "species": ["Re", "Re", "Re", "Re", "Re", "Re", "Rh", "Rh", "Rh", "Rh", "Rh", "Rh", "Rh"], "fractional_positions": [[0.0454, 0.0454, 0.0454], [0.1522, 0.1522, 0.1522], [0.3340, 0.3340, 0.3340], [0.6660, 0.6660, 0.6660], [0.8478, 0.8478, 0.8478], [0.9546, 0.9546, 0.9546], [0.0846, 0.5872, 0.5872], [0.4128, 0.4128, 0.9154], [0.4128, 0.9154, 0.4128], [0.5000, 0.5000, 0.5000], [0.5872, 0.0846, 0.5872], [0.5872, 0.5872, 0.0846], [0.9154, 0.4128, 0.4128]]}